No. 1
## Al2TcSb (GGA-PBEsol)

Data for crystalline Al2TcSb at its relaxed geometry.

crystal system: tetragonal
total magnetization: 0.00 μB per cell
raw formation energy: 0.226 eV/atom

a b c (Å): 3.973 3.973 4.156
angles (deg): 90.00 90.00 90.00
Fractional positions:
Al 0.000 0.500 0.000
Al 0.500 0.000 0.000
Tc 0.000 0.000 0.500
Sb 0.500 0.500 0.500

---

No. 2
## Al2TcSb (GGA-PBEsol)

Data for crystalline Al2TcSb at its relaxed geometry.

crystal system: monoclinic
total magnetization: 0.00 μB per cell
raw formation energy: 0.217 eV/atom

a b c (Å): 5.412 5.412 3.209
angles (deg): 106.00 106.00 119.12
Fractional positions:
Al 0.000 0.500 0.000
Al 0.500 0.000 0.000
Tc 0.000 0.000 0.000
Sb 0.500 0.500 0.000

---

No. 3
## AlSbTe2W (GGA-PBEsol)

Data for crystalline AlSbTe2W at its relaxed geometry.

energy relative to the lowest polymorph listed for this composition: 645 meV per atom
crystal system: tetragonal
total magnetization: 2.95 μB per cell
raw formation energy: 1.387 eV/atom

a b c (Å): 5.131 5.131 5.045
angles (deg): 90.00 90.00 90.00
Fractional positions:
Al 0.000 0.000 0.000
Sb 0.000 0.000 0.500
Te 0.000 0.500 0.000
Te 0.500 0.000 0.000
W 0.500 0.500 0.500

---

No. 4
## AlSbTe2W (GGA-PBEsol)

Data for crystalline AlSbTe2W at its relaxed geometry.

energy relative to the lowest polymorph listed for this composition: 0 meV per atom
crystal system: tetragonal
total magnetization: 0.00 μB per cell
raw formation energy: 0.742 eV/atom

a b c (Å): 5.286 5.286 5.206
angles (deg): 90.00 90.00 90.00
Fractional positions:
Al 0.000 0.000 0.000
Sb 0.500 0.500 0.000
Te 0.000 0.500 0.500
Te 0.500 0.000 0.500
W 0.500 0.500 0.500